1.
Below is Nd2Tm at its PBEsol-relaxed geometry, with properties calculated at the SCAN level.

Results
**Energy**: -46.299 eV/atom
**Symmetry**: R-3m, No. 166

a = 8.9173 Å, b = 8.9173 Å, c = 8.9173 Å
α = 22.91°, β = 22.91°, γ = 22.91°
Last column: nearest neighbours and their distance in Å.
Fractional positions:
Nd 0.2249 0.2249 0.2249  3 Tm 3.49, 9 Nd 3.54-3.66
Nd 0.7751 0.7751 0.7751  3 Tm 3.49, 9 Nd 3.54-3.66
Tm 0.0000 0.0000 0.0000  6 Nd 3.49, 6 Tm 3.54

=====

2.
Below is Nd3Tm at its PBEsol-relaxed geometry, with properties calculated at the SCAN level.

Results
**Energy**: -45.619 eV/atom
**Symmetry**: P6_3/mmc, No. 194

a = 7.1770 Å, b = 7.1770 Å, c = 5.7454 Å
α = 90.00°, β = 90.00°, γ = 120.00°
Last column: nearest neighbours and their distance in Å.
Fractional positions:
Nd 0.1675 0.3350 0.2500  4 Tm 3.54-3.59, 8 Nd 3.55-3.61
Nd 0.1675 0.8325 0.2500  4 Tm 3.54-3.59, 8 Nd 3.55-3.61
Nd 0.3350 0.1675 0.7500  4 Tm 3.54-3.59, 8 Nd 3.55-3.61
Nd 0.6650 0.8325 0.2500  4 Tm 3.54-3.59, 8 Nd 3.55-3.61
Nd 0.8325 0.1675 0.7500  4 Tm 3.54-3.59, 8 Nd 3.55-3.61
Nd 0.8325 0.6650 0.7500  4 Tm 3.54-3.59, 8 Nd 3.55-3.61
Tm 0.3333 0.6667 0.7500  12 Nd 3.54-3.59
Tm 0.6667 0.3333 0.2500  12 Nd 3.54-3.59

=====

3.
Below is NdTmZn2 at its PBEsol-relaxed geometry, with properties calculated at the SCAN level.

Results
**Energy**: -30.996 eV/atom
**Symmetry**: Fm-3m, No. 225

a = 5.0019 Å, b = 5.0019 Å, c = 5.0019 Å
α = 60.00°, β = 60.00°, γ = 60.00°
Last column: nearest neighbours and their distance in Å.
Fractional positions:
Nd 0.0000 0.0000 0.0000  8 Zn 3.06
Tm 0.5000 0.5000 0.5000  8 Zn 3.06
Zn 0.2500 0.2500 0.2500  4 Nd 3.06, 4 Tm 3.06
Zn 0.7500 0.7500 0.7500  4 Nd 3.06, 4 Tm 3.06

=====

4.
Below is Nd2Y at its PBEsol-relaxed geometry, with properties calculated at the SCAN level.

Results
**Energy**: -38.309 eV/atom
**Symmetry**: R-3m, No. 166

a = 8.9375 Å, b = 8.9375 Å, c = 8.9375 Å
α = 23.13°, β = 23.13°, γ = 23.13°
Last column: nearest neighbours and their distance in Å.
Fractional positions:
Nd 0.2236 0.2236 0.2236  3 Y 3.53, 9 Nd 3.58-3.62
Nd 0.7764 0.7764 0.7764  3 Y 3.53, 9 Nd 3.58-3.62
Y 0.0000 0.0000 0.0000  6 Nd 3.53, 6 Y 3.58

=====

5.
Below is NdYZn2 at its PBEsol-relaxed geometry, with properties calculated at the SCAN level.

Results
**Energy**: -25.017 eV/atom
**Symmetry**: Fm-3m, No. 225

a = 5.0407 Å, b = 5.0407 Å, c = 5.0407 Å
α = 60.00°, β = 60.00°, γ = 60.00°
Last column: nearest neighbours and their distance in Å.
Fractional positions:
Nd 0.0000 0.0000 0.0000  8 Zn 3.09
Y 0.5000 0.5000 0.5000  8 Zn 3.09
Zn 0.2500 0.2500 0.2500  4 Nd 3.09, 4 Y 3.09
Zn 0.7500 0.7500 0.7500  4 Nd 3.09, 4 Y 3.09

=====

6.
Below is Nd2Zn17 at its PBEsol-relaxed geometry, with properties calculated at the SCAN level.

Results
**Energy**: -17.000 eV/atom
**Symmetry**: R-3m, No. 166

a = 6.7067 Å, b = 6.7067 Å, c = 6.7067 Å
α = 82.92°, β = 82.92°, γ = 82.92°
Last column: nearest neighbours and their distance in Å.
Fractional positions:
Nd 0.1638 0.1638 0.1638  19 Zn 3.08-3.40
Nd 0.8362 0.8362 0.8362  19 Zn 3.08-3.40
Zn 0.0000 0.5000 0.5000  10 Zn 2.54-2.71
Zn 0.1501 0.1501 0.6605  9 Zn 2.53-2.82
Zn 0.1501 0.6605 0.1501  9 Zn 2.53-2.82
Zn 0.2069 0.5000 0.7931  8 Zn 2.54-2.71
Zn 0.2069 0.7931 0.5000  8 Zn 2.54-2.71
Zn 0.3395 0.8499 0.8499  9 Zn 2.53-2.82
Zn 0.4013 0.4013 0.4013  7 Zn 2.56-2.82
Zn 0.5000 0.0000 0.5000  10 Zn 2.54-2.71
Zn 0.5000 0.2069 0.7931  8 Zn 2.54-2.71
Zn 0.5000 0.5000 0.0000  10 Zn 2.54-2.71
Zn 0.5000 0.7931 0.2069  8 Zn 2.54-2.71
Zn 0.5987 0.5987 0.5987  7 Zn 2.56-2.82
Zn 0.6605 0.1501 0.1501  9 Zn 2.53-2.82
Zn 0.7931 0.2069 0.5000  8 Zn 2.54-2.71
Zn 0.7931 0.5000 0.2069  8 Zn 2.54-2.71
Zn 0.8499 0.3395 0.8499  9 Zn 2.53-2.82
Zn 0.8499 0.8499 0.3395  9 Zn 2.53-2.82

=====

7.
Below is Nd3Zn22 at its PBEsol-relaxed geometry, with properties calculated at the SCAN level.

Results
**Energy**: -17.462 eV/atom
**Symmetry**: I4_1/amd, No. 141

a = 12.1145 Å, b = 12.1145 Å, c = 12.1145 Å
α = 137.85°, β = 137.85°, γ = 61.14°
Last column: nearest neighbours and their distance in Å.
Fractional positions:
Nd 0.1250 0.8750 0.2500  20 Zn 3.08-3.40
Nd 0.2535 0.5035 0.7500  16 Zn 3.04-3.37
Nd 0.4965 0.7465 0.7500  16 Zn 3.04-3.37
Nd 0.5035 0.2535 0.2500  16 Zn 3.04-3.37
Nd 0.7465 0.4965 0.2500  16 Zn 3.04-3.37
Nd 0.8750 0.1250 0.7500  20 Zn 3.08-3.40
Zn 0.0000 0.0000 0.0000  10 Zn 2.56-2.60
Zn 0.0000 0.0000 0.5000  10 Zn 2.56-2.60
Zn 0.0000 0.5000 0.0000  10 Zn 2.56-2.60
Zn 0.0426 0.3188 0.2390  9 Zn 2.51-2.74
Zn 0.0426 0.8036 0.7238  9 Zn 2.51-2.74
Zn 0.1168 0.2199 0.6031  10 Zn 2.56-2.84
Zn 0.1168 0.5137 0.8969  10 Zn 2.56-2.84
Zn 0.1387 0.7368 0.4019  10 Zn 2.56-2.84
Zn 0.1505 0.6234 0.5271  9 Zn 2.51-2.75
Zn 0.1651 0.2632 0.9019  10 Zn 2.56-2.84
Zn 0.1964 0.4202 0.2390  9 Zn 2.51-2.74
Zn 0.1964 0.9574 0.7762  9 Zn 2.51-2.74
Zn 0.2199 0.1168 0.1031  10 Zn 2.56-2.84
Zn 0.2632 0.1651 0.4019  10 Zn 2.56-2.84
Zn 0.2632 0.8613 0.0981  10 Zn 2.56-2.84
Zn 0.3188 0.0426 0.7390  9 Zn 2.51-2.74
Zn 0.3188 0.5798 0.2762  9 Zn 2.51-2.74
Zn 0.3766 0.4037 0.5271  9 Zn 2.51-2.75
Zn 0.3766 0.8495 0.9729  9 Zn 2.51-2.75
Zn 0.4037 0.3766 0.0271  9 Zn 2.51-2.75
Zn 0.4202 0.1964 0.7390  9 Zn 2.51-2.74
Zn 0.4202 0.6812 0.2238  9 Zn 2.51-2.74
Zn 0.4863 0.8832 0.6031  10 Zn 2.56-2.84
Zn 0.5000 0.0000 0.5000  10 Zn 2.56-2.60
Zn 0.5137 0.1168 0.3969  10 Zn 2.56-2.84
Zn 0.5798 0.3188 0.7762  9 Zn 2.51-2.74
Zn 0.5798 0.8036 0.2610  9 Zn 2.51-2.74
Zn 0.5963 0.6234 0.9729  9 Zn 2.51-2.75
Zn 0.6234 0.1505 0.0271  9 Zn 2.51-2.75
Zn 0.6234 0.5963 0.4729  9 Zn 2.51-2.75
Zn 0.6812 0.4202 0.7238  9 Zn 2.51-2.74
Zn 0.6812 0.9574 0.2610  9 Zn 2.51-2.74
Zn 0.7368 0.1387 0.9019  10 Zn 2.56-2.84
Zn 0.7368 0.8349 0.5981  10 Zn 2.56-2.84
Zn 0.7801 0.8832 0.8969  10 Zn 2.56-2.84
Zn 0.8036 0.0426 0.2238  9 Zn 2.51-2.74
Zn 0.8036 0.5798 0.7610  9 Zn 2.51-2.74
Zn 0.8349 0.7368 0.0981  10 Zn 2.56-2.84
Zn 0.8495 0.3766 0.4729  9 Zn 2.51-2.75
Zn 0.8613 0.2632 0.5981  10 Zn 2.56-2.84
Zn 0.8832 0.4863 0.1031  10 Zn 2.56-2.84
Zn 0.8832 0.7801 0.3969  10 Zn 2.56-2.84
Zn 0.9574 0.1964 0.2762  9 Zn 2.51-2.74
Zn 0.9574 0.6812 0.7610  9 Zn 2.51-2.74

=====

8.
Below is Ne at its PBEsol-relaxed geometry, with properties calculated at the SCAN level.

Results
**Energy**: -2.421 eV/atom
**Symmetry**: Fm-3m, No. 225

a = 3.1101 Å, b = 3.1101 Å, c = 3.1101 Å
α = 60.00°, β = 60.00°, γ = 60.00°
Last column: nearest neighbours and their distance in Å.
Fractional positions:
Ne 0.0000 0.0000 0.0000  12 Ne 3.11

=====

In order of appearance, formation enthalpy at 0 K = 0.03 0.03 -0.38 0.03 -0.40 -0.32 -0.34 0.00 eV/atom.